(1)
Compound: K2AlMo
Source: Alexandria
Functional: PBE
Structure: optimized geometry

abc: 3.0088 3.0088 36.9116
angles: 90.00 90.00 120.00
Space group R-3m (No. 166, hexagonal axes)
Inequivalent atoms, fractional coordinates:
K: 0.0000 0.0000 0.2503 x6
Al: 0.0000 0.0000 0.5000 x3
Mo: 0.0000 0.0000 0.0000 x3

Computed properties:
DOS at the Fermi energy = 1.06 states/eV/atom
energy = -3.05 eV/atom

(2)
Compound: Ba4Tc
Source: Alexandria
Functional: PBE
Structure: optimized geometry

abc: 7.805 7.805 7.805
angles: 90.00 90.00 90.00
Space group Im-3m (No. 229)
Inequivalent atoms, fractional coordinates:
Ba: 0.250 0.250 0.250 x8
Tc: 0.000 0.000 0.000 x2

Computed properties:
DOS at the Fermi energy = 1.03 states/eV/atom
offset from the most stable computed form = 0.175 eV/atom
energy = -2.97 eV/atom

(3)
Compound: CeTmCoCu
Source: Alexandria
Functional: PBE
Structure: optimized geometry

abc: 6.794 6.794 6.794
angles: 90.00 90.00 90.00
Space group F-43m (No. 216)
Inequivalent atoms, fractional coordinates:
Ce: 0.000 0.000 0.000 x4
Tm: 0.000 0.000 0.500 x4
Co: 0.250 0.250 0.750 x4
Cu: 0.250 0.250 0.250 x4

Computed properties:
DOS at the Fermi energy = 1.07 states/eV/atom
energy = -5.56 eV/atom

(4)
Compound: CsIn6I8
Source: Alexandria
Functional: PBE
Structure: optimized geometry

abc: 12.6084 12.6084 15.3645
angles: 90.00 90.00 120.00
Space group R-3 (No. 148, hexagonal axes)
Inequivalent atoms, fractional coordinates:
Cs: 0.0000 0.0000 0.0000 x3
In: 0.0056 0.1794 0.4088 x18
I: 0.0000 0.0000 0.2553 x6
I: 0.0063 0.3611 0.2754 x18

Computed properties:
DOS at the Fermi energy = 0.65 states/eV/atom
E_form (uncorrected) = -544 meV per atom
offset from the most stable computed form = 0.022 eV/atom
energy = -2.52 eV/atom

(5)
Compound: KBe4Tc
Source: Alexandria
Functional: PBE
Structure: optimized geometry

abc: 6.744 6.744 6.744
angles: 90.00 90.00 90.00
Space group F-43m (No. 216)
Inequivalent atoms, fractional coordinates:
K: 0.000 0.000 0.000 x4
Be: 0.118 0.118 0.382 x16
Tc: 0.250 0.250 0.750 x4

Computed properties:
DOS at the Fermi energy = 0.55 states/eV/atom
energy = -3.60 eV/atom

(6)
Compound: HfMgOsO6
Source: Alexandria
Functional: PBE
Structure: optimized geometry

abc: 5.2216 5.2216 9.0639
angles: 90.00 90.00 120.00
Space group P-31c (No. 163)
Inequivalent atoms, fractional coordinates:
Hf: 0.3333 0.6667 0.2500 x2
Mg: 0.0000 0.0000 0.0000 x2
Os: 0.3333 0.6667 0.7500 x2
O: 0.0199 0.3566 0.6316 x12

Computed properties:
DOS at the Fermi energy = 0.44 states/eV/atom
E_form (uncorrected) = -2100 meV per atom
energy = -7.94 eV/atom